This record from the Alexandria database describes a relaxed structure of CsPmCo2F8. The functional is PBE+U.

abc: 4.9432 5.1707 8.9436
angles: 93.67 93.50 92.80
Last column: nearest neighbours and their distance in Å.
Space group P-1 (No. 2)
Unique sites:
Cs1 0.0000 0.0000 0.0000 [1 per cell]  6 F 2.93-3.20
Pm1 0.0000 0.0000 0.5000 [1 per cell]  6 F 2.25-2.34
Co1 0.4950 0.5375 0.6869 [2 per cell]  3 F 1.86-2.01
F1 0.1512 0.2610 0.3281 [2 per cell]  1 Co 2.01, 1 Pm 2.25
F2 0.2169 0.2482 0.6926 [2 per cell]  1 Co 1.99
F3 0.3532 0.7167 0.4898 [2 per cell]  2 Co 2.14-2.18, 1 Pm 2.34
F4 0.4372 0.7187 0.8681 [2 per cell]  1 Co 1.86

Properties
volume = 227.4 Å³/cell
total DFT energy (no corrections) = -64.37 eV/cell